# 1
DFT (GGA-PBE) results for an optimized crystal structure of La2GaBr.

a b c (Å): 3.9428 3.9428 9.1479
angles (deg): 77.55 77.55 60.00
Fractional coordinates of all 4 atoms:
Br 0.4995 0.4995 0.5015
La 0.2552 0.2552 0.2343
La 0.0784 0.0784 0.7647
Ga 0.6668 0.6668 0.9995

Properties
For the energy above the most stable polymorph in this dataset, the calculation gives 0.071 eV per atom. As for the space group: R3m (160). The uncorrected formation energy comes out at -0.91 eV/atom.

# 2
DFT (GGA-PBE) results for an optimized crystal structure of NaNdSm.

a b c (Å): 3.6309 3.6309 9.2987
angles (deg): 90.00 90.00 120.00
Fractional coordinates of all 3 atoms:
Na 0.0000 0.0000 0.9989
Sm 0.3333 0.6667 0.6528
Nd 0.6667 0.3333 0.3483

Properties
For the energy above the most stable polymorph in this dataset, the calculation gives 0.035 eV per atom. The formation energy from the elements comes out at 110 meV/atom. As for the space group: P3m1 (156).

# 3
DFT (GGA-PBE) results for an optimized crystal structure of ErThTi2.

a b c (Å): 3.7438 3.7438 6.8262
angles (deg): 90.00 90.00 90.00
Fractional coordinates of all 4 atoms:
Th 0.5000 0.5000 0.0000
Ti 0.0000 0.0000 0.2119
Ti 0.0000 0.0000 0.7881
Er 0.5000 0.5000 0.5000

Properties
The formation energy from the elements comes out at 167 meV/atom. As for the space group: P4/mmm (123).

# 4
DFT (GGA-PBE) results for an optimized crystal structure of Tb8Tm3Sc3.

a b c (Å): 5.4956 9.4353 9.4352
angles (deg): 102.67 73.07 73.07
Fractional coordinates of all 14 atoms:
Tb 0.1619 0.4404 0.2359
Tb 0.6584 0.5618 0.1215
Tb 0.6583 0.1215 0.5618
Tb 0.8381 0.5596 0.7641
Tb 0.8381 0.7641 0.5596
Tb 0.1619 0.2359 0.4404
Tb 0.3417 0.8785 0.4382
Tb 0.3416 0.4382 0.8785
Tm 0.5000 0.0000 0.0000
Tm 0.0000 0.8239 0.1761
Tm 0.0000 0.1761 0.8239
Sc 0.7964 0.2038 0.2038
Sc 0.5000 0.5000 0.5000
Sc 0.2036 0.7962 0.7962

Properties
The formation energy from the elements comes out at 127 meV/atom. As for the space group: Immm (71).

Number 1: uncorrected energy -4.55 eV/atom. Number 2: uncorrected energy -3.49 eV/atom. Number 3: uncorrected energy -6.78 eV/atom. Number 4: uncorrected energy -4.83 eV/atom.